VASP calculation (PBE) on a relaxed Ta2BrCl crystal.

```
8
Lattice="4.2706 0.0000 0.0000 0.0000 4.2706 0.0000 0.0000 0.0000 8.3577" Properties=species:S:1:pos:R:3 pbc="T T T"
Ta 0.0000 0.0000 0.0000
Ta 0.0000 2.1353 2.0894
Ta 2.1353 0.0000 6.2683
Ta 2.1353 2.1353 4.1789
Br 0.0000 2.1353 6.2683
Br 2.1353 0.0000 2.0894
Cl 0.0000 0.0000 4.1789
Cl 2.1353 2.1353 0.0000
```

Values from the calculation:
**Uncorrected energy**: -47.58 eV/cell
**Spin magnetization**: 0.000 μB/f.u.
**Uncorrected formation energy**: 0.86 eV/atom
**Energy relative to the lowest polymorph listed for this composition**: 123.0 kJ per mole of atoms